# 1
An optimized crystal structure of ZrTe2Cl. Source: Alexandria, functional PBE.

Calculated values
**Formation energy from raw total energies**: -0.281 eV/atom
**Calculated total energy**: -35.61 eV per cell

extended XYZ file:
```
8
Lattice="-1.866 -6.689 -1.746 6.621 -2.249 1.540 0.661 -5.517 5.746" Properties=species:S:1:pos:R:3 pbc="T T T"
Te -0.267 -6.179 0.449
Te 4.165 -3.283 2.269
Te 1.944 -7.376 4.154
Te 4.992 -12.072 4.207
Zr 0.000 0.000 0.000
Zr 0.587 -8.337 1.948
Cl 2.378 -4.469 -0.103
Cl 4.830 -6.117 3.591
```

# 2
An optimized crystal structure of CoAsPt2. Source: Alexandria, functional PBE.

Calculated values
**Calculated total energy**: -23.74 eV per cell
**ΔE_f**: 0.025 eV per atom

extended XYZ file:
```
4
Lattice="2.904 -0.004 0.000 0.004 2.904 0.000 0.000 0.000 7.160" Properties=species:S:1:pos:R:3 pbc="T T T"
As 1.454 1.450 1.790
Co 1.454 1.450 5.370
Pt 0.000 0.000 7.036
Pt 0.000 0.000 3.704
```

# 3
An optimized crystal structure of AcPr2Al2Ga2. Source: Alexandria, functional PBE.

Calculated values
**Calculated total energy**: -30.06 eV per cell
**ΔE_f**: -0.408 eV per atom

extended XYZ file:
```
7
Lattice="-2.524 -2.730 2.302 1.039 -4.239 0.264 5.923 -0.153 10.467" Properties=species:S:1:pos:R:3 pbc="T T T"
Ac 0.000 0.000 0.000
Pr 3.485 -0.978 6.815
Pr 0.953 -6.145 6.217
Al 0.267 -4.222 3.592
Al 4.171 -2.901 9.439
Ga 3.521 -5.277 10.062
Ga 0.917 -1.846 2.970
```

# 4
An optimized crystal structure of NaSr3Ac3S8. Source: Alexandria, functional PBE.

Calculated values
**Formation energy from raw total energies**: -1.962 eV/atom
**Calculated total energy**: -81.13 eV per cell

extended XYZ file:
```
15
Lattice="-1.239 -0.448 -8.479 6.560 -4.195 3.605 -8.027 -2.650 1.313" Properties=species:S:1:pos:R:3 pbc="T T T"
Na -4.013 -1.325 0.656
Sr 0.000 0.000 0.000
Sr 3.280 -2.097 1.802
Sr 2.660 -2.321 -2.437
Ac -4.633 -1.549 -3.583
Ac -1.353 -3.646 -1.781
Ac -0.733 -3.422 2.459
S 0.966 -2.869 0.010
S -3.672 -4.423 -3.571
S 0.313 -3.184 -4.219
S -3.019 -4.108 0.658
S -3.002 -1.064 -6.041
S 0.297 -6.229 2.480
S -2.376 -0.837 -1.756
S -0.330 -6.455 -1.805
```

# 5
An optimized crystal structure of Tb4Tm7Mg. Source: Alexandria, functional PBE.

Calculated values
**Calculated total energy**: -48.71 eV per cell
**ΔE_f**: 0.225 eV per atom

extended XYZ file:
```
12
Lattice="-0.997 -4.003 -3.403 10.448 0.535 -7.892 1.182 -5.678 2.130" Properties=species:S:1:pos:R:3 pbc="T T T"
Tb 1.907 -4.566 -3.591
Tb 8.727 -4.580 -5.573
Tb 7.117 -2.403 -7.662
Tb 3.516 -6.743 -1.503
Tm 8.957 -5.286 -9.012
Tm 1.676 -3.860 -0.152
Tm 6.103 -6.063 -7.263
Tm 4.530 -3.084 -1.902
Tm 6.215 -5.645 -3.585
Tm -0.499 -2.002 -1.702
Tm 4.418 -3.501 -5.580
Mg 0.000 0.000 0.000
```

# 6
An optimized crystal structure of Sc3InPt. Source: Alexandria, functional PBE.

Calculated values
**Calculated total energy**: -29.67 eV per cell
**ΔE_f**: -0.380 eV per atom

extended XYZ file:
```
5
Lattice="-1.102 1.042 -4.851 -4.420 -2.463 0.475 -2.254 4.322 1.440" Properties=species:S:1:pos:R:3 pbc="T T T"
Sc -2.210 -1.232 0.237
Sc -1.127 2.161 0.720
Sc -0.551 0.521 -2.426
Pt 0.000 0.000 0.000
In -3.888 1.450 -1.468
```

# 7
An optimized crystal structure of Sr4ScTl5. Source: Alexandria, functional PBE.

Calculated values
**Calculated total energy**: -28.59 eV per cell
**ΔE_f**: -0.370 eV per atom

extended XYZ file:
```
10
Lattice="-1.873 0.274 3.465 -1.018 -3.806 -0.250 17.202 -5.239 9.713" Properties=species:S:1:pos:R:3 pbc="T T T"
Sr 3.219 -0.980 1.817
Sr 6.812 -2.075 3.846
Sr 10.390 -3.165 5.867
Sr 13.983 -4.259 7.895
Sc 0.000 0.000 0.000
Tl -0.066 -2.187 2.386
Tl 3.595 -3.302 4.454
Tl 7.155 -4.386 6.464
Tl 10.715 -5.470 8.474
Tl 14.376 -6.586 10.541
```

# 8
An optimized crystal structure of BeReMoRu. Source: Alexandria, functional PBE.

Calculated values
**Calculated total energy**: -36.12 eV per cell
**ΔE_f**: 0.041 eV per atom

extended XYZ file:
```
4
Lattice="-3.753 -1.912 -0.666 -0.905 -1.646 -3.829 -0.176 -4.230 -0.515" Properties=species:S:1:pos:R:3 pbc="T T T"
Re 0.000 0.000 0.000
Mo -1.208 -1.947 -1.253
Be -3.625 -5.841 -3.758
Ru -2.417 -3.894 -2.505
```